# 1
Entry from Alexandria via LeMat-Bulk: crystalline VBiB2 at its relaxed geometry (PBE-GGA).

POSCAR file:
```
VBiB2
1.0
-2.5951 2.5951 5.1161
2.5951 -2.5951 5.1161
2.5951 2.5951 -5.1161
V Bi B
2 2 4
direct
0.0000 0.0000 0.0000
0.7500 0.2500 0.5000
0.2500 0.7500 0.5000
0.5000 0.5000 0.0000
0.0745 0.6250 0.9495
0.3750 0.3245 0.4495
0.6755 0.1250 0.0505
0.8750 0.9255 0.5505
```

DFT formation energy: 1.0016 eV per atom

---

# 2
Entry from Alexandria via LeMat-Bulk: crystalline HoZn2Cu4 at its relaxed geometry (PBE-GGA).

POSCAR file:
```
HoZn2Cu4
1.0
4.0573 -3.2027 0.0000
4.0573 3.2027 0.0000
-2.9930 0.0000 4.0013
Ho Zn Cu
1 2 4
direct
0.0000 0.0000 0.0000
0.4979 0.4979 0.2470
0.5021 0.5021 0.7530
0.0016 0.6189 0.3115
0.3811 0.9984 0.6885
0.6189 0.0016 0.3115
0.9984 0.3811 0.6885
```

energy relative to the lowest polymorph listed for this composition: 0.0 meV per atom
DFT formation energy: -0.2367 eV per atom

---

# 3
Entry from Alexandria via LeMat-Bulk: crystalline K2NaAl2 at its relaxed geometry (PBE-GGA).

POSCAR file:
```
K2NaAl2
1.0
9.9079 0.0000 0.0000
0.0000 9.9079 0.0000
0.0000 0.0000 3.9157
K Na Al
4 2 4
direct
0.1957 0.3043 0.0000
0.3043 0.8043 0.0000
0.6957 0.1957 0.0000
0.8043 0.6957 0.0000
0.0000 0.0000 0.5000
0.5000 0.5000 0.5000
0.0911 0.5911 0.5000
0.4089 0.0911 0.5000
0.5911 0.9089 0.5000
0.9089 0.4089 0.5000
```

DFT formation energy: 0.3503 eV per atom

---

# 4
Entry from Alexandria via LeMat-Bulk: crystalline PrDy2Ho5Th at its relaxed geometry (PBE-GGA).

POSCAR file:
```
PrDy2Ho5Th
1.0
2.8605 -10.6457 0.0000
2.8605 10.6457 0.0000
0.0000 0.0000 9.6978
Pr Dy Ho Th
2 4 10 2
direct
0.0960 0.9040 0.5000
0.9040 0.0960 0.0000
0.3640 0.6360 0.7818
0.3884 0.6116 0.4001
0.6116 0.3884 0.9001
0.6360 0.3640 0.2818
0.0284 0.9716 0.8191
0.1063 0.8937 0.1135
0.1933 0.8067 0.7949
0.2343 0.7657 0.4156
0.4866 0.5134 0.0940
0.5134 0.4866 0.5940
0.7657 0.2343 0.9156
0.8067 0.1933 0.2949
0.8937 0.1063 0.6135
0.9716 0.0284 0.3191
0.3082 0.6918 0.1017
0.6918 0.3082 0.6017
```

DFT formation energy: 0.1665 eV per atom

---

# 5
Entry from Alexandria via LeMat-Bulk: crystalline Ba2LiZnAu at its relaxed geometry (PBE-GGA).

POSCAR file:
```
Ba2LiZnAu
1.0
6.3245 0.0000 0.0000
0.0000 6.3245 0.0000
0.0000 0.0000 4.9352
Ba Li Zn Au
2 1 1 1
direct
0.0000 0.5000 0.0000
0.5000 0.0000 0.0000
0.0000 0.0000 0.5000
0.5000 0.5000 0.5000
0.0000 0.0000 0.0000
```

energy relative to the lowest polymorph listed for this composition: 0.0 meV per atom
DFT formation energy: -0.2147 eV per atom

---

# 6
Entry from Alexandria via LeMat-Bulk: crystalline Na2CoCl6 at its relaxed geometry (PBE-GGA).

POSCAR file:
```
Na2CoCl6
1.0
6.5678 0.0000 0.0000
0.0000 6.8077 0.0000
-6.4157 0.0000 9.2681
Na Co Cl
4 2 12
direct
0.2190 0.0845 0.2424
0.2190 0.4155 0.7424
0.7810 0.5845 0.2576
0.7810 0.9155 0.7576
0.5000 0.0000 0.0000
0.5000 0.5000 0.5000
0.1706 0.1807 0.9480
0.1706 0.3193 0.4480
0.2814 0.7228 0.9546
0.2814 0.7772 0.4546
0.3683 0.0149 0.7672
0.3683 0.4851 0.2672
0.6317 0.5149 0.7328
0.6317 0.9851 0.2328
0.7186 0.2228 0.5454
0.7186 0.2772 0.0454
0.8294 0.6807 0.5520
0.8294 0.8193 0.0520
```

energy relative to the lowest polymorph listed for this composition: 0.0 meV per atom
ΔE_f (raw): -1011.6 meV/atom

---

# 7
Entry from Alexandria via LeMat-Bulk: crystalline TcCIO2 at its relaxed geometry (PBE-GGA).

POSCAR file:
```
TcCIO2
1.0
3.7430 0.0000 0.0000
0.0000 3.7430 0.0000
0.0000 0.0000 5.8927
Tc C I O
1 1 1 2
direct
0.0000 0.0000 0.0000
0.5000 0.5000 0.5000
0.0000 0.0000 0.5000
0.0000 0.5000 0.0000
0.5000 0.0000 0.0000
```

energy relative to the lowest polymorph listed for this composition: 0.0 meV per atom
ΔE_f (raw): 426.2 meV/atom

---

# 8
Entry from Alexandria via LeMat-Bulk: crystalline KRuPt2 at its relaxed geometry (PBE-GGA).

POSCAR file:
```
KRuPt2
1.0
2.8250 0.0000 0.0000
0.0000 2.8250 0.0000
0.0000 0.0000 9.2491
K Ru Pt
1 1 2
direct
0.0000 0.0000 0.0000
0.5000 0.5000 0.6931
0.0000 0.0000 0.5028
0.5000 0.5000 0.2865
```

energy relative to the lowest polymorph listed for this composition: 247.7 meV per atom
DFT formation energy: 0.3974 eV per atom

---

# 9
Entry from Alexandria via LeMat-Bulk: crystalline Sr2TcPtCl at its relaxed geometry (PBE-GGA).

POSCAR file:
```
Sr2TcPtCl
1.0
5.8176 0.0000 0.0000
0.0000 5.8176 0.0000
0.0000 0.0000 4.6671
Sr Tc Pt Cl
2 1 1 1
direct
0.0000 0.5000 0.0000
0.5000 0.0000 0.0000
0.0000 0.0000 0.0000
0.0000 0.0000 0.5000
0.5000 0.5000 0.5000
```

ΔE_f (raw): -151.8 meV/atom

---

# 10
Entry from Alexandria via LeMat-Bulk: crystalline BaAcPt at its relaxed geometry (PBE-GGA).

POSCAR file:
```
BaAcPt
1.0
0.0000 3.7912 3.7912
3.7912 0.0000 3.7912
3.7912 3.7912 0.0000
Ba Ac Pt
1 1 1
direct
0.0000 0.0000 0.0000
0.5000 0.5000 0.5000
0.7500 0.7500 0.7500
```

energy relative to the lowest polymorph listed for this composition: 222.6 meV per atom
DFT formation energy: -0.5774 eV per atom

---

# 11
Entry from Alexandria via LeMat-Bulk: crystalline Pm2Pr3SmTm6 at its relaxed geometry (PBE-GGA).

POSCAR file:
```
Pm2Pr3SmTm6
1.0
3.1142 -5.3922 0.0000
3.1142 5.3922 0.0000
-2.0706 0.0000 11.5438
Pm Pr Sm Tm
2 3 1 6
direct
0.1666 0.8334 0.0000
0.8334 0.1666 0.0000
0.0000 0.0000 0.5000
0.3333 0.6667 0.5000
0.6667 0.3333 0.5000
0.5000 0.5000 0.0000
0.0839 0.4172 0.7518
0.2496 0.2496 0.2483
0.4172 0.0839 0.7518
0.5828 0.9161 0.2482
0.7504 0.7504 0.7517
0.9161 0.5828 0.2482
```

DFT formation energy: 0.0171 eV per atom

---

# 12
Entry from Alexandria via LeMat-Bulk: crystalline BeCd2Br at its relaxed geometry (PBE-GGA).

POSCAR file:
```
BeCd2Br
1.0
-3.4112 3.4112 4.7744
3.4112 -3.4112 4.7744
3.4112 3.4112 -4.7744
Be Cd Br
2 4 2
direct
0.0000 0.0000 0.0000
0.7500 0.2500 0.5000
0.0652 0.6250 0.9402
0.3750 0.3152 0.4402
0.6848 0.1250 0.0598
0.8750 0.9348 0.5598
0.2500 0.7500 0.5000
0.5000 0.5000 0.0000
```

energy relative to the lowest polymorph listed for this composition: 156.3 meV per atom
ΔE_f (raw): 229.4 meV/atom

---

# 13
Entry from Alexandria via LeMat-Bulk: crystalline Mg2Pa2GaIr4 at its relaxed geometry (PBE-GGA).

POSCAR file:
```
Mg2Pa2GaIr4
1.0
-3.1821 3.1821 4.5532
3.1821 -3.1821 4.5532
3.1821 3.1821 -4.5532
Mg Pa Ga Ir
2 2 1 4
direct
0.2500 0.7500 0.5000
0.7500 0.2500 0.5000
0.1928 0.1928 0.0000
0.8072 0.8072 0.0000
0.5000 0.5000 0.0000
0.2294 0.2294 0.4588
0.2294 0.7706 0.0000
0.7706 0.2294 0.0000
0.7706 0.7706 0.5412
```

DFT formation energy: -0.0599 eV per atom

---

What N(E_F) values result from the calculations? In sequence: 2.053 2.496 5.208 12.131 3.322 8.018 1.302 2.556 3.976 2.337 12.152 1.247 12.034 states/eV/f.u..
What volume values result from the calculations? In sequence: 137.8 104.0 384.4 590.6 197.4 414.4 82.6 73.8 158.0 109.0 387.7 222.2 184.4 Å³/cell.
What VASP energy values result from the calculations? In sequence: -5.587 -3.595 -1.849 -4.755 -2.277 -3.325 -5.785 -5.216 -4.475 -4.601 -4.599 -1.578 -6.799 eV/atom.